[1]
This record from Alexandria via LeMat-Bulk describes crystalline Hg2Mo2Ru at its relaxed geometry. The functional is PBE.

CIF file:
```
data_Hg2Mo2Ru
_cell_length_a 7.942
_cell_length_b 7.942
_cell_length_c 3.009
_cell_angle_alpha 90.00
_cell_angle_beta 90.00
_cell_angle_gamma 90.00
_symmetry_space_group_name_H-M 'P 4/m b m'
_symmetry_Int_Tables_number 127
_symmetry_space_group_name_Hall '-P 4 2ab'
loop_
_atom_site_label
_atom_site_fract_x
_atom_site_fract_y
_atom_site_fract_z
Hg1 0.190 0.310 0.000
Mo1 0.104 0.604 0.500
Ru1 0.000 0.000 0.000
```

Output
- M_tot: 2.6 μB per cell
- Formation enthalpy at 0 K: 0.969 eV/atom



[2]
This record from Alexandria via LeMat-Bulk describes crystalline Hg2MoRu at its relaxed geometry. The functional is PBE.

CIF file:
```
data_Hg2MoRu
_cell_length_a 2.849
_cell_length_b 4.764
_cell_length_c 5.364
_cell_angle_alpha 90.00
_cell_angle_beta 100.04
_cell_angle_gamma 90.00
_symmetry_space_group_name_H-M 'P 1 2/m 1'
_symmetry_Int_Tables_number 10
loop_
_symmetry_equiv_pos_as_xyz
'x,y,z'
'-x,-y,-z'
'-x,y,-z'
'x,-y,z'
loop_
_atom_site_label
_atom_site_fract_x
_atom_site_fract_y
_atom_site_fract_z
Hg1 0.208 0.000 0.254
Mo1 0.500 0.500 0.000
Ru1 0.000 0.500 0.500
```

Output
- M_tot: 0.8 μB per cell
- Formation enthalpy at 0 K: 0.715 eV/atom



[3]
This record from Alexandria via LeMat-Bulk describes crystalline HgMoRu at its relaxed geometry. The functional is PBE.

CIF file:
```
data_HgMoRu
_cell_length_a 6.157
_cell_length_b 6.157
_cell_length_c 6.157
_cell_angle_alpha 90.00
_cell_angle_beta 90.00
_cell_angle_gamma 90.00
_symmetry_space_group_name_H-M 'F -4 3 m'
_symmetry_Int_Tables_number 216
_symmetry_space_group_name_Hall 'F -4 2 3'
loop_
_atom_site_label
_atom_site_fract_x
_atom_site_fract_y
_atom_site_fract_z
Hg1 0.000 0.000 0.000
Mo1 0.000 0.000 0.500
Ru1 0.250 0.250 0.750
```

Output
- M_tot: 0.0 μB per cell
- Formation enthalpy at 0 K: 0.785 eV/atom



[4]
This record from Alexandria via LeMat-Bulk describes crystalline Hg2MoRu at its relaxed geometry. The functional is PBE.

CIF file:
```
data_Hg2MoRu
_cell_length_a 6.580
_cell_length_b 6.580
_cell_length_c 6.580
_cell_angle_alpha 90.00
_cell_angle_beta 90.00
_cell_angle_gamma 90.00
_symmetry_space_group_name_H-M 'F -4 3 m'
_symmetry_Int_Tables_number 216
_symmetry_space_group_name_Hall 'F -4 2 3'
loop_
_atom_site_label
_atom_site_fract_x
_atom_site_fract_y
_atom_site_fract_z
Hg1 0.000 0.000 0.000
Hg2 0.250 0.250 0.250
Mo1 0.000 0.000 0.500
Ru1 0.250 0.250 0.750
```

Output
- M_tot: 0.0 μB per cell
- Formation enthalpy at 0 K: 0.706 eV/atom



[5]
This record from Alexandria via LeMat-Bulk describes crystalline HgMoRu2 at its relaxed geometry. The functional is PBE.

CIF file:
```
data_HgMoRu2
_cell_length_a 4.089
_cell_length_b 4.089
_cell_length_c 7.563
_cell_angle_alpha 90.00
_cell_angle_beta 90.00
_cell_angle_gamma 90.00
_symmetry_space_group_name_H-M 'I 4/m m m'
_symmetry_Int_Tables_number 139
_symmetry_space_group_name_Hall '-I 4 2'
loop_
_atom_site_label
_atom_site_fract_x
_atom_site_fract_y
_atom_site_fract_z
Hg1 0.000 0.000 0.000
Mo1 0.000 0.000 0.500
Ru1 0.000 0.500 0.250
```

Output
- M_tot: 0.0 μB per cell
- Formation enthalpy at 0 K: 0.396 eV/atom



[6]
This record from Alexandria via LeMat-Bulk describes crystalline Hg2MoRu at its relaxed geometry. The functional is PBE.

CIF file:
```
data_Hg2MoRu
_cell_length_a 2.973
_cell_length_b 4.931
_cell_length_c 10.108
_cell_angle_alpha 90.00
_cell_angle_beta 90.00
_cell_angle_gamma 90.00
_symmetry_space_group_name_H-M 'I m m 2'
_symmetry_Int_Tables_number 44
loop_
_symmetry_equiv_pos_as_xyz
'x,y,z'
'-x,-y,z'
'-x,y,z'
'x,-y,z'
'x+1/2,y+1/2,z+1/2'
'-x+1/2,-y+1/2,z+1/2'
'-x+1/2,y+1/2,z+1/2'
'x+1/2,-y+1/2,z+1/2'
loop_
_atom_site_label
_atom_site_fract_x
_atom_site_fract_y
_atom_site_fract_z
Hg1 0.000 0.000 0.000
Hg2 0.000 0.500 0.219
Mo1 0.000 0.000 0.453
Ru1 0.000 0.500 0.758
```

Output
- M_tot: 0.0 μB per cell
- Formation enthalpy at 0 K: 0.565 eV/atom



[7]
This record from Alexandria via LeMat-Bulk describes crystalline Hg2MoRu at its relaxed geometry. The functional is PBE.

CIF file:
```
data_Hg2MoRu
_cell_length_a 7.575
_cell_length_b 7.575
_cell_length_c 5.432
_cell_angle_alpha 90.00
_cell_angle_beta 90.00
_cell_angle_gamma 90.00
_symmetry_space_group_name_H-M 'I -4 2 d'
_symmetry_Int_Tables_number 122
_symmetry_space_group_name_Hall 'I -4 2bw'
loop_
_atom_site_label
_atom_site_fract_x
_atom_site_fract_y
_atom_site_fract_z
Hg1 0.243 0.250 0.125
Mo1 0.000 0.000 0.500
Ru1 0.000 0.000 0.000
```

Output
- M_tot: 0.0 μB per cell
- Formation enthalpy at 0 K: 1.120 eV/atom



[8]
This record from Alexandria via LeMat-Bulk describes crystalline HgMoRu2 at its relaxed geometry. The functional is PBE.

CIF file:
```
data_HgMoRu2
_cell_length_a 2.827
_cell_length_b 4.038
_cell_length_c 5.657
_cell_angle_alpha 90.00
_cell_angle_beta 90.00
_cell_angle_gamma 90.00
_symmetry_space_group_name_H-M 'P m m 2'
_symmetry_Int_Tables_number 25
loop_
_symmetry_equiv_pos_as_xyz
'x,y,z'
'-x,-y,z'
'-x,y,z'
'x,-y,z'
loop_
_atom_site_label
_atom_site_fract_x
_atom_site_fract_y
_atom_site_fract_z
Hg1 0.000 0.000 0.000
Mo1 0.500 0.500 0.300
Ru1 0.000 0.000 0.499
Ru2 0.500 0.500 0.730
```

Output
- M_tot: 0.0 μB per cell
- Formation enthalpy at 0 K: 0.372 eV/atom



[9]
This record from Alexandria via LeMat-Bulk describes crystalline Hg2Mo2Ru at its relaxed geometry. The functional is PBE.

CIF file:
```
data_Hg2Mo2Ru
_cell_length_a 3.580
_cell_length_b 3.580
_cell_length_c 14.952
_cell_angle_alpha 90.00
_cell_angle_beta 90.00
_cell_angle_gamma 90.00
_symmetry_space_group_name_H-M 'I 4/m m m'
_symmetry_Int_Tables_number 139
_symmetry_space_group_name_Hall '-I 4 2'
loop_
_atom_site_label
_atom_site_fract_x
_atom_site_fract_y
_atom_site_fract_z
Hg1 0.000 0.000 0.096
Mo1 0.000 0.500 0.250
Ru1 0.000 0.000 0.500
```

Output
- M_tot: 3.6 μB per cell
- Formation enthalpy at 0 K: 0.941 eV/atom



[10]
This record from Alexandria via LeMat-Bulk describes crystalline HgMoRu2 at its relaxed geometry. The functional is PBE.

CIF file:
```
data_HgMoRu2
_cell_length_a 5.755
_cell_length_b 7.621
_cell_length_c 2.892
_cell_angle_alpha 90.00
_cell_angle_beta 90.00
_cell_angle_gamma 90.00
_symmetry_space_group_name_H-M 'C m m m'
_symmetry_Int_Tables_number 65
_symmetry_space_group_name_Hall '-C 2 2'
loop_
_atom_site_label
_atom_site_fract_x
_atom_site_fract_y
_atom_site_fract_z
Hg1 0.000 0.000 0.000
Mo1 0.000 0.500 0.000
Ru1 0.250 0.250 0.500
```

Output
- M_tot: 0.0 μB per cell
- Formation enthalpy at 0 K: 0.500 eV/atom



[11]
This record from Alexandria via LeMat-Bulk describes crystalline HgMoRu2 at its relaxed geometry. The functional is PBE.

CIF file:
```
data_HgMoRu2
_cell_length_a 3.087
_cell_length_b 4.692
_cell_length_c 9.088
_cell_angle_alpha 90.00
_cell_angle_beta 90.00
_cell_angle_gamma 90.00
_symmetry_space_group_name_H-M 'C m m m'
_symmetry_Int_Tables_number 65
_symmetry_space_group_name_Hall '-C 2 2'
loop_
_atom_site_label
_atom_site_fract_x
_atom_site_fract_y
_atom_site_fract_z
Hg1 0.000 0.000 0.000
Mo1 0.000 0.000 0.500
Ru1 0.000 0.500 0.274
```

Output
- M_tot: 0.0 μB per cell
- Formation enthalpy at 0 K: 0.433 eV/atom



[12]
This record from Alexandria via LeMat-Bulk describes crystalline HgMoRu2 at its relaxed geometry. The functional is PBE.

CIF file:
```
data_HgMoRu2
_cell_length_a 2.8430
_cell_length_b 2.8430
_cell_length_c 27.6544
_cell_angle_alpha 90.00
_cell_angle_beta 90.00
_cell_angle_gamma 120.00
_symmetry_space_group_name_H-M 'R -3 m'
_symmetry_Int_Tables_number 166
_symmetry_space_group_name_Hall '-R 3 2"'
loop_
_atom_site_label
_atom_site_fract_x
_atom_site_fract_y
_atom_site_fract_z
Hg1 0.0000 0.0000 0.0000
Mo1 0.0000 0.0000 0.5000
Ru1 0.0000 0.0000 0.2432
```

Output
- M_tot: 0.0 μB per cell
- Formation enthalpy at 0 K: 0.287 eV/atom